Record 1
First-principles (PBE) data for a geometry-optimized RbCdO2 structure, as listed in the Alexandria database.

DOS(E_F)	9.34	states/eV/cell
ΔE_f (raw)	-3.23	eV/f.u.
ρ	4700	kg/m3

Cell: 6.502 6.502 5.992 Å, 57.14 57.14 90.00°
Site moments in Bohr magnetons follow the coordinates.
Fractional positions:
Cd: 0.000 0.000 0.000  0.07
Cd: 0.750 0.250 0.500  0.07
Rb: 0.500 0.500 0.000  0.00
Rb: 0.250 0.750 0.500  0.00
O: 0.375 0.289 0.750  0.38
O: 0.711 0.125 0.250  0.40
O: 0.039 0.625 0.250  0.40
O: 0.875 0.961 0.750  0.38


Record 2
First-principles (PBE) data for a geometry-optimized LaAl2Br structure, as listed in the Alexandria database.

polymorph energy (0 for the lowest one)	519.4	meV per atom
DOS(E_F)	7.39	states/eV/cell
ΔE_f (raw)	-0.28	eV/f.u.
ρ	4105	kg/m3

Cell: 8.674 8.674 6.799 Å, 50.36 50.36 90.00°
Fractional positions:
Al: 0.375 0.386 0.750
Al: 0.875 0.864 0.750
Al: 0.136 0.625 0.250
Al: 0.614 0.125 0.250
La: 0.750 0.250 0.500
La: 0.000 0.000 0.000
Br: 0.500 0.500 0.000
Br: 0.250 0.750 0.500


Record 3
First-principles (PBE) data for a geometry-optimized SrIn2Sb structure, as listed in the Alexandria database.

DOS(E_F)	2.21	states/eV/cell
ΔE_f (raw)	-1.25	eV/f.u.
ρ	6100	kg/m3

Cell: 5.361 3.479 6.408 Å, 89.83 90.00 90.00°
Fractional positions:
Sr: 0.500 0.749 0.738
Sb: 0.000 0.250 0.519
In: 0.500 0.266 0.234
In: 0.000 0.235 0.010


Record 4
First-principles (PBE) data for a geometry-optimized Mg2ZrAg2 structure, as listed in the Alexandria database.

polymorph energy (0 for the lowest one)	0.0	meV per atom
DOS(E_F)	5.81	states/eV/cell
energy relative to the elements	-0.050	eV per atom
ρ	5975	kg/m3

Cell: 8.111 8.111 3.005 Å, 90.00 90.00 90.00°
Fractional positions:
Zr: 0.500 0.500 0.000
Zr: 0.000 0.000 0.000
Mg: 0.164 0.664 0.500
Mg: 0.336 0.164 0.500
Mg: 0.836 0.336 0.500
Mg: 0.664 0.836 0.500
Ag: 0.633 0.133 0.000
Ag: 0.367 0.867 0.000
Ag: 0.133 0.367 0.000
Ag: 0.867 0.633 0.000


Record 5
First-principles (PBE) data for a geometry-optimized PmB3C structure, as listed in the Alexandria database.

DOS(E_F)	1.49	states/eV/cell
energy relative to the elements	-0.377	eV per atom
ρ	5575	kg/m3

Cell: 4.065 5.478 5.565 Å, 90.00 90.00 65.59°
Fractional positions:
B: 0.700 0.124 0.713
B: 0.249 0.738 0.052
B: 0.860 0.842 0.213
B: 0.311 0.228 0.552
B: 0.700 0.124 0.392
B: 0.860 0.842 0.892
C: 0.601 0.757 0.052
C: 0.959 0.209 0.552
Pm: 0.128 0.277 0.052
Pm: 0.433 0.689 0.552


Record 6
First-principles (PBE) data for a geometry-optimized Fe2HgRu structure, as listed in the Alexandria database.

DOS(E_F)	3.49	states/eV/cell
energy relative to the elements	0.304	eV per atom
ρ	11628	kg/m3

Cell: 3.029 3.018 7.125 Å, 64.99 90.00 90.00°
Site moments in Bohr magnetons follow the coordinates.
Fractional positions:
Fe: 0.000 0.995 0.005  2.38
Fe: 0.500 0.295 0.205  2.72
Ru: 0.500 0.700 0.800  0.37
Hg: 0.000 0.510 0.490  -0.02


Record 7
First-principles (PBE) data for a geometry-optimized BaLi2MgP structure, as listed in the Alexandria database.

DOS(E_F)	5.20	states/eV/cell
energy relative to the elements	0.385	eV per atom
ρ	2113	kg/m3

Cell: 4.981 6.540 4.981 Å, 90.00 90.00 90.00°
Fractional positions:
Mg: 0.000 0.000 0.000
Ba: 0.000 0.500 0.000
Li: 0.000 0.000 0.500
Li: 0.500 0.000 0.000
P: 0.500 0.500 0.500


Record 8
First-principles (PBE) data for a geometry-optimized NaSmTlSn structure, as listed in the Alexandria database.

polymorph energy (0 for the lowest one)	0.0	meV per atom
DOS(E_F)	2.25	states/eV/cell
energy relative to the elements	-0.375	eV per atom
ρ	7517	kg/m3

Cell: 4.329 4.874 5.198 Å, 90.00 90.00 90.00°
Fractional positions:
Na: 0.000 0.000 0.000
Tl: 0.500 0.500 0.000
Sm: 0.000 0.500 0.500
Sn: 0.500 0.000 0.500